# 1
! NaHN2F (PBE-GGA, relaxed); values from VASP
! Symmetry: P4/mmm (123)
! Volume, Å³/atom: 24.92
! Polymorph energy (0 for the lowest one), eV/atom: 0.9567
! Final energy, eV per atom: -3.00
&SYSTEM
  ibrav = 0, nat = 5, ntyp = 4
/
ATOMIC_SPECIES
N 14.01 N.upf
Na 22.99 Na.upf
H 1.01 H.upf
F 19.00 F.upf
CELL_PARAMETERS angstrom
-3.532 -3.473 -2.325
3.906 -3.825 -0.221
-1.129 -1.372 3.764
ATOMIC_POSITIONS angstrom
N 1.953 -1.912 -0.111
Na 0.000 0.000 0.000
H -0.377 -4.334 0.609
F -0.565 -0.686 1.882
N -1.766 -1.736 -1.162



# 2
! HfMoS3 (PBE-GGA, relaxed); values from VASP
! Symmetry: Pm-3m (221)
! Volume, Å³/atom: 23.47
! Polymorph energy (0 for the lowest one), eV/atom: 0.0000
! DOS at the Fermi energy, states/eV/cell: 4.17
! Final energy, eV per atom: -6.61
! Formation energy (no corrections), eV/atom: 0.022
&SYSTEM
  ibrav = 0, nat = 5, ntyp = 3
/
ATOMIC_SPECIES
S 32.06 S.upf
Hf 178.49 Hf.upf
Mo 95.94 Mo.upf
CELL_PARAMETERS angstrom
-3.497 -2.242 -2.592
-0.296 -3.492 3.419
-3.414 2.598 2.359
ATOMIC_POSITIONS angstrom
S -0.148 -1.746 1.709
Hf 0.000 0.000 0.000
Mo -3.603 -1.568 1.592
S -1.748 -1.121 -1.296
S -1.707 1.299 1.179



- Which of these has the lowest final energy?
  HfMoS3



- The lowest polymorph energy (0 for the lowest one) belongs to which entry?
  HfMoS3